1.
{
  "formula": "RbCuSbBr6",
  "functional": "PBE",
  "state": "optimized geometry",
  "lattice": [[6.9854, 0.0000, 0.0000], [-1.3734, 6.8599, 0.0000], [-1.8791, -2.2912, 6.9840]],
  "species": ["Rb", "Cu", "Sb", "Br", "Br", "Br", "Br", "Br", "Br"],
  "fractional_positions": [[0.0000, 0.0000, 0.0000], [0.7946, 0.2092, 0.4970], [0.4410, 0.5611, 0.4978], [0.1496, 0.5777, 0.2094], [0.1592, 0.2525, 0.5473], [0.4225, 0.8501, 0.7864], [0.5413, 0.2431, 0.2305], [0.7482, 0.8443, 0.4486], [0.7597, 0.4611, 0.7643]],
  "sg": "P1, No. 1",
  "magmom_total_mub_per_fu": 0.000,
  "e_tot_ev_per_atom": -2.8798
}

2.
{
  "formula": "Sr2Cd6InHg",
  "functional": "PBE",
  "state": "optimized geometry",
  "lattice": [[5.8828, 0.0000, 0.0000], [0.0000, 9.3775, 0.0000], [0.0000, 0.0000, 10.6505]],
  "species": ["Sr", "Sr", "Sr", "Sr", "Cd", "Cd", "Cd", "Cd", "Cd", "Cd", "Cd", "Cd", "Cd", "Cd", "Cd", "Cd", "In", "In", "Hg", "Hg"],
  "fractional_positions": [[0.2500, 0.0005, 0.2338], [0.2500, 0.4995, 0.2338], [0.7500, 0.9995, 0.7662], [0.7500, 0.5005, 0.7662], [0.9999, 0.2500, 0.9998], [0.9996, 0.2500, 0.4927], [0.0001, 0.7500, 0.0002], [0.0004, 0.7500, 0.5073], [0.2500, 0.0026, 0.5865], [0.2500, 0.4974, 0.5865], [0.5001, 0.2500, 0.9998], [0.5004, 0.2500, 0.4927], [0.4999, 0.7500, 0.0002], [0.4996, 0.7500, 0.5073], [0.7500, 0.5026, 0.4135], [0.7500, 0.9974, 0.4135], [0.2500, 0.2500, 0.7622], [0.7500, 0.7500, 0.2378], [0.2500, 0.7500, 0.7669], [0.7500, 0.2500, 0.2331]],
  "ef_ev_per_atom": -0.18,
  "sg": "Pmmn, No. 59",
  "magmom_total_mub_per_fu": 0.000,
  "e_tot_ev_per_atom": -1.3740
}

3.
{
  "formula": "Tl3RhI",
  "functional": "PBE",
  "state": "optimized geometry",
  "lattice": [[6.5517, -7.4083, 0.0000], [6.5517, 7.4083, 0.0000], [-4.0411, 0.0000, 6.3820]],
  "species": ["Tl", "Tl", "Tl", "Tl", "Tl", "Tl", "Tl", "Tl", "Tl", "Tl", "Tl", "Tl", "Rh", "Rh", "Rh", "Rh", "I", "I", "I", "I"],
  "fractional_positions": [[0.0338, 0.4150, 0.7098], [0.0465, 0.8081, 0.8966], [0.1919, 0.9535, 0.6034], [0.2721, 0.2881, 0.0278], [0.2881, 0.2721, 0.5278], [0.4150, 0.0338, 0.2098], [0.5850, 0.9662, 0.7902], [0.7119, 0.7279, 0.4722], [0.7279, 0.7119, 0.9722], [0.8081, 0.0465, 0.3966], [0.9535, 0.1919, 0.1034], [0.9662, 0.5850, 0.2902], [0.1999, 0.4469, 0.3330], [0.4469, 0.1999, 0.8330], [0.5531, 0.8001, 0.1670], [0.8001, 0.5531, 0.6670], [0.3152, 0.6848, 0.2500], [0.3303, 0.6697, 0.7500], [0.6697, 0.3303, 0.2500], [0.6848, 0.3152, 0.7500]],
  "polymorph_energy_mev_per_atom": 255.5,
  "sg": "C2/c, No. 15",
  "magmom_total_mub_per_fu": 0.000,
  "e_tot_ev_per_atom": -3.2095
}

4.
{
  "formula": "Zr2ReSe2",
  "functional": "PBE",
  "state": "optimized geometry",
  "lattice": [[7.1735, 0.0000, 0.0000], [0.0000, 7.1735, 0.0000], [0.0000, 0.0000, 3.5386]],
  "species": ["Zr", "Zr", "Zr", "Zr", "Re", "Re", "Se", "Se", "Se", "Se"],
  "fractional_positions": [[0.1593, 0.3407, 0.0000], [0.3407, 0.8407, 0.0000], [0.6593, 0.1593, 0.0000], [0.8407, 0.6593, 0.0000], [0.0000, 0.0000, 0.5000], [0.5000, 0.5000, 0.5000], [0.1484, 0.6484, 0.5000], [0.3516, 0.1484, 0.5000], [0.6484, 0.8516, 0.5000], [0.8516, 0.3516, 0.5000]],
  "polymorph_energy_mev_per_atom": 0.0,
  "sg": "P4/mbm, No. 127",
  "magmom_total_mub_per_fu": 0.000,
  "e_tot_ev_per_atom": -7.6847
}

5.
{
  "formula": "Y2ScHg2",
  "functional": "PBE",
  "state": "optimized geometry",
  "lattice": [[8.5350, 0.0000, 0.0000], [0.0000, 8.5350, 0.0000], [0.0000, 0.0000, 3.6670]],
  "species": ["Y", "Y", "Y", "Y", "Sc", "Sc", "Hg", "Hg", "Hg", "Hg"],
  "fractional_positions": [[0.1509, 0.3491, 0.0000], [0.3491, 0.8491, 0.0000], [0.6509, 0.1509, 0.0000], [0.8491, 0.6509, 0.0000], [0.0000, 0.0000, 0.0000], [0.5000, 0.5000, 0.0000], [0.1486, 0.6486, 0.5000], [0.3514, 0.1486, 0.5000], [0.6486, 0.8514, 0.5000], [0.8514, 0.3514, 0.5000]],
  "ef_ev_per_atom": -0.16,
  "polymorph_energy_mev_per_atom": 213.9,
  "sg": "P4/mbm, No. 127",
  "magmom_total_mub_per_fu": 1.094,
  "e_tot_ev_per_atom": -4.1368
}

6.
{
  "formula": "RbNa2Hg3",
  "functional": "PBE",
  "state": "optimized geometry",
  "lattice": [[-2.4959, 2.4959, 16.9685], [2.4959, -2.4959, 16.9685], [2.4959, 2.4959, -16.9685]],
  "species": ["Rb", "Rb", "Na", "Na", "Na", "Na", "Hg", "Hg", "Hg", "Hg", "Hg", "Hg"],
  "fractional_positions": [[0.1453, 0.1453, 0.0000], [0.8547, 0.8547, 0.0000], [0.2500, 0.7500, 0.5000], [0.4024, 0.4024, 0.0000], [0.5976, 0.5976, 0.0000], [0.7500, 0.2500, 0.5000], [0.0441, 0.5441, 0.5000], [0.3105, 0.3105, 0.0000], [0.4559, 0.9559, 0.5000], [0.5441, 0.0441, 0.5000], [0.6895, 0.6895, 0.0000], [0.9559, 0.4559, 0.5000]],
  "ef_ev_per_atom": -0.15,
  "polymorph_energy_mev_per_atom": 57.2,
  "sg": "I4/mmm, No. 139",
  "magmom_total_mub_per_fu": 0.000,
  "e_tot_ev_per_atom": -0.9019
}

7.
{
  "formula": "CoPt3Au",
  "functional": "PBE",
  "state": "optimized geometry",
  "lattice": [[4.5556, 0.0000, 0.0000], [0.0000, 4.5556, 0.0000], [0.0000, 0.0000, 4.5556]],
  "species": ["Co", "Pt", "Pt", "Pt", "Au"],
  "fractional_positions": [[0.0000, 0.0000, 0.0000], [0.0000, 0.0000, 0.5000], [0.0000, 0.5000, 0.0000], [0.5000, 0.0000, 0.0000], [0.5000, 0.5000, 0.5000]],
  "ef_ev_per_atom": 0.94,
  "polymorph_energy_mev_per_atom": 0.0,
  "sg": "Pm-3m, No. 221",
  "magmom_total_mub_per_fu": 3.063,
  "e_tot_ev_per_atom": -4.7648
}

8.
{
  "formula": "KGeMoRh2",
  "functional": "PBE",
  "state": "optimized geometry",
  "lattice": [[4.8096, 0.0000, 0.0000], [0.0000, 4.8096, 0.0000], [0.0000, 0.0000, 5.0075]],
  "species": ["K", "Ge", "Mo", "Rh", "Rh"],
  "fractional_positions": [[0.0000, 0.0000, 0.0000], [0.5000, 0.5000, 0.0000], [0.5000, 0.5000, 0.5000], [0.0000, 0.5000, 0.5000], [0.5000, 0.0000, 0.5000]],
  "ef_ev_per_atom": 0.69,
  "polymorph_energy_mev_per_atom": 0.0,
  "sg": "P4/mmm, No. 123",
  "magmom_total_mub_per_fu": 0.000,
  "e_tot_ev_per_atom": -5.5582
}

9.
{
  "formula": "Zr2SiBBr",
  "functional": "PBE",
  "state": "optimized geometry",
  "lattice": [[4.7893, 0.0000, 0.0000], [0.0000, 4.7893, 0.0000], [0.0000, 0.0000, 4.1679]],
  "species": ["Zr", "Zr", "Si", "B", "Br"],
  "fractional_positions": [[0.0000, 0.5000, 0.0000], [0.5000, 0.0000, 0.0000], [0.0000, 0.0000, 0.5000], [0.5000, 0.5000, 0.0000], [0.5000, 0.5000, 0.5000]],
  "sg": "P4/mmm, No. 123",
  "magmom_total_mub_per_fu": 0.000,
  "e_tot_ev_per_atom": -5.8188
}

10.
{
  "formula": "BaCaSi",
  "functional": "PBE",
  "state": "optimized geometry",
  "lattice": [[0.0000, 3.6793, 3.6793], [3.6793, 0.0000, 3.6793], [3.6793, 3.6793, 0.0000]],
  "species": ["Ba", "Ca", "Si"],
  "fractional_positions": [[0.0000, 0.0000, 0.0000], [0.7500, 0.7500, 0.7500], [0.5000, 0.5000, 0.5000]],
  "polymorph_energy_mev_per_atom": 489.0,
  "sg": "F-43m, No. 216",
  "magmom_total_mub_per_fu": 0.000,
  "e_tot_ev_per_atom": -3.0472
}

11.
{
  "formula": "ReIr6Rh",
  "functional": "PBE",
  "state": "optimized geometry",
  "lattice": [[3.8755, 0.0000, 0.0000], [0.0000, 3.8755, 0.0000], [0.0000, 0.0000, 7.7351]],
  "species": ["Re", "Ir", "Ir", "Ir", "Ir", "Ir", "Ir", "Rh"],
  "fractional_positions": [[0.0000, 0.0000, 0.0000], [0.0000, 0.5000, 0.2460], [0.0000, 0.5000, 0.7540], [0.5000, 0.0000, 0.2460], [0.5000, 0.0000, 0.7540], [0.5000, 0.5000, 0.0000], [0.5000, 0.5000, 0.5000], [0.0000, 0.0000, 0.5000]],
  "ef_ev_per_atom": -0.08,
  "sg": "P4/mmm, No. 123",
  "magmom_total_mub_per_fu": 0.000,
  "e_tot_ev_per_atom": -9.2014
}

12.
{
  "formula": "SiP2OF",
  "functional": "PBE",
  "state": "optimized geometry",
  "lattice": [[4.7271, 0.0000, 0.0000], [0.0000, 4.7271, 0.0000], [0.0000, 0.0000, 3.2412]],
  "species": ["Si", "P", "P", "O", "F"],
  "fractional_positions": [[0.0000, 0.0000, 0.0000], [0.0000, 0.5000, 0.0000], [0.5000, 0.0000, 0.0000], [0.0000, 0.0000, 0.5000], [0.5000, 0.5000, 0.5000]],
  "polymorph_energy_mev_per_atom": 0.0,
  "sg": "P4/mmm, No. 123",
  "magmom_total_mub_per_fu": 0.000,
  "e_tot_ev_per_atom": -4.7882
}

13.
{
  "formula": "ReC2S",
  "functional": "PBE",
  "state": "optimized geometry",
  "lattice": [[-2.3133, 2.3133, 4.1526], [2.3133, -2.3133, 4.1526], [2.3133, 2.3133, -4.1526]],
  "species": ["Re", "Re", "C", "C", "C", "C", "S", "S"],
  "fractional_positions": [[0.0000, 0.0000, 0.0000], [0.7500, 0.2500, 0.5000], [0.1670, 0.6250, 0.0420], [0.3750, 0.4170, 0.5420], [0.5830, 0.1250, 0.9580], [0.8750, 0.8330, 0.4580], [0.2500, 0.7500, 0.5000], [0.5000, 0.5000, 0.0000]],
  "sg": "I-42d, No. 122",
  "magmom_total_mub_per_fu": 0.000,
  "e_tot_ev_per_atom": -7.5214
}

14.
{
  "formula": "SnOsI2O",
  "functional": "PBE",
  "state": "optimized geometry",
  "lattice": [[5.7153, 0.0000, 0.0000], [0.0000, 5.7153, 0.0000], [0.0000, 0.0000, 3.7785]],
  "species": ["Sn", "Os", "I", "I", "O"],
  "fractional_positions": [[0.0000, 0.0000, 0.0000], [0.5000, 0.5000, 0.5000], [0.0000, 0.5000, 0.5000], [0.5000, 0.0000, 0.5000], [0.5000, 0.5000, 0.0000]],
  "polymorph_energy_mev_per_atom": 0.0,
  "sg": "P4/mmm, No. 123",
  "magmom_total_mub_per_fu": 0.431,
  "e_tot_ev_per_atom": -4.6292
}

15.
{
  "formula": "Y2TcPt2",
  "functional": "PBE",
  "state": "optimized geometry",
  "lattice": [[7.0475, 0.0000, 0.0000], [0.0000, 7.0475, 0.0000], [0.0000, 0.0000, 4.2316]],
  "species": ["Y", "Y", "Y", "Y", "Tc", "Tc", "Pt", "Pt", "Pt", "Pt"],
  "fractional_positions": [[0.1746, 0.3254, 0.0000], [0.3254, 0.8254, 0.0000], [0.6746, 0.1746, 0.0000], [0.8254, 0.6746, 0.0000], [0.0000, 0.0000, 0.5000], [0.5000, 0.5000, 0.5000], [0.1361, 0.6361, 0.5000], [0.3639, 0.1361, 0.5000], [0.6361, 0.8639, 0.5000], [0.8639, 0.3639, 0.5000]],
  "ef_ev_per_atom": -0.63,
  "sg": "P4/mbm, No. 127",
  "magmom_total_mub_per_fu": 1.486,
  "e_tot_ev_per_atom": -7.7007
}

16.
{
  "formula": "Cd2CuRe",
  "functional": "PBE",
  "state": "optimized geometry",
  "lattice": [[-1.4082, 2.4579, 4.9543], [1.4082, -2.4579, 4.9543], [1.4082, 2.4579, -4.9543]],
  "species": ["Cd", "Cd", "Cu", "Re"],
  "fractional_positions": [[0.0000, 0.0000, 0.0000], [0.7267, 0.2267, 0.5000], [0.2454, 0.7454, 0.5000], [0.4644, 0.4644, 0.0000]],
  "ef_ev_per_atom": 0.52,
  "polymorph_energy_mev_per_atom": 127.2,
  "sg": "Imm2, No. 44",
  "magmom_total_mub_per_fu": 0.000,
  "e_tot_ev_per_atom": -4.0742
}

17.
{
  "formula": "LuMgSiHg",
  "functional": "PBE",
  "state": "optimized geometry",
  "lattice": [[0.0000, 3.4784, 3.4784], [3.4784, 0.0000, 3.4784], [3.4784, 3.4784, 0.0000]],
  "species": ["Lu", "Mg", "Si", "Hg"],
  "fractional_positions": [[0.0000, 0.0000, 0.0000], [0.5000, 0.5000, 0.5000], [0.7500, 0.7500, 0.7500], [0.2500, 0.2500, 0.2500]],
  "sg": "F-43m, No. 216",
  "magmom_total_mub_per_fu": 0.000,
  "e_tot_ev_per_atom": -3.2026
}

18.
{
  "formula": "Li2AgSnBr6",
  "functional": "PBE",
  "state": "optimized geometry",
  "lattice": [[3.5012, 2.0214, 6.4982], [-3.5012, 2.0214, 6.4982], [0.0000, -4.0429, 6.4982]],
  "species": ["Li", "Li", "Ag", "Sn", "Br", "Br", "Br", "Br", "Br", "Br"],
  "fractional_positions": [[0.0000, 0.0000, 0.0000], [0.4953, 0.4953, 0.4953], [0.1891, 0.1891, 0.1891], [0.6828, 0.6828, 0.6828], [0.0941, 0.7774, 0.4046], [0.2703, 0.6050, 0.8978], [0.4046, 0.0941, 0.7774], [0.6050, 0.8978, 0.2703], [0.7774, 0.4046, 0.0941], [0.8978, 0.2703, 0.6050]],
  "sg": "R3, No. 146",
  "magmom_total_mub_per_fu": 0.000,
  "e_tot_ev_per_atom": -2.9791
}

19.
{
  "formula": "Sm2HoU2Ru5",
  "functional": "PBE",
  "state": "optimized geometry",
  "lattice": [[10.7389, 0.0000, 0.0000], [0.0000, 10.7389, 0.0000], [0.0000, 0.0000, 3.5656]],
  "species": ["Sm", "Sm", "Sm", "Sm", "Ho", "Ho", "U", "U", "U", "U", "Ru", "Ru", "Ru", "Ru", "Ru", "Ru", "Ru", "Ru", "Ru", "Ru"],
  "fractional_positions": [[0.1752, 0.3248, 0.0000], [0.3248, 0.8248, 0.0000], [0.6752, 0.1752, 0.0000], [0.8248, 0.6752, 0.0000], [0.0000, 0.0000, 0.0000], [0.5000, 0.5000, 0.0000], [0.1357, 0.6357, 0.0000], [0.3643, 0.1357, 0.0000], [0.6357, 0.8643, 0.0000], [0.8643, 0.3643, 0.0000], [0.0000, 0.5000, 0.5000], [0.0514, 0.7860, 0.5000], [0.2140, 0.0514, 0.5000], [0.2860, 0.5514, 0.5000], [0.4486, 0.2860, 0.5000], [0.5000, 0.0000, 0.5000], [0.5514, 0.7140, 0.5000], [0.7140, 0.4486, 0.5000], [0.7860, 0.9486, 0.5000], [0.9486, 0.2140, 0.5000]],
  "ef_ev_per_atom": -0.25,
  "sg": "P4/mbm, No. 127",
  "magmom_total_mub_per_fu": 0.000,
  "e_tot_ev_per_atom": -8.5504
}

20.
{
  "formula": "La2MgTl2",
  "functional": "PBE",
  "state": "optimized geometry",
  "lattice": [[9.3445, 0.0000, 0.0000], [0.0000, 9.3445, 0.0000], [0.0000, 0.0000, 3.7657]],
  "species": ["La", "La", "La", "La", "Mg", "Mg", "Tl", "Tl", "Tl", "Tl"],
  "fractional_positions": [[0.1725, 0.3275, 0.0000], [0.3275, 0.8275, 0.0000], [0.6725, 0.1725, 0.0000], [0.8275, 0.6725, 0.0000], [0.0000, 0.0000, 0.0000], [0.5000, 0.5000, 0.0000], [0.1263, 0.6263, 0.5000], [0.3737, 0.1263, 0.5000], [0.6263, 0.8737, 0.5000], [0.8737, 0.3737, 0.5000]],
  "ef_ev_per_atom": -0.12,
  "polymorph_energy_mev_per_atom": 219.5,
  "sg": "P4/mbm, No. 127",
  "magmom_total_mub_per_fu": 0.000,
  "e_tot_ev_per_atom": -3.3604
}